Pm3Sm4Tm4, relaxed, DFT PBE-GGA; magnetization = 0.00 Bohr magnetons per cell; energy relative to the elements = 19 meV/atom; DOS at the Fermi energy = 1.255 states/eV per atom; space-group type = P-1, No. 2; raw total energy = -4.62 eV per atom
1.0
3.579 -0.004 -0.304
-0.050 5.007 -0.625
-0.113 -0.048 19.953
Sm Tm Pm
4 4 3
Direct
0.183 0.183 0.366
0.546 0.546 0.092
0.817 0.817 0.634
0.454 0.454 0.908
0.272 0.272 0.544
0.908 0.909 0.817
0.091 0.091 0.183
0.728 0.728 0.456
0.637 0.637 0.274
0.000 0.000 0.000
0.363 0.363 0.726



PmSm5Tm, relaxed, DFT PBE-GGA; magnetization = 0.00 Bohr magnetons per cell; energy relative to the elements = 883 meV/atom; DOS at the Fermi energy = 1.278 states/eV per atom; space-group type = Imm2, No. 44; raw total energy = -3.81 eV per atom
1.0
-0.719 -4.420 -4.329
6.450 2.745 -3.874
0.551 -2.780 7.226
Pm Sm Tm
1 5 1
Direct
0.930 0.000 0.000
0.167 0.500 0.000
0.432 0.820 0.000
0.685 0.748 0.495
0.190 0.252 0.505
0.432 0.180 0.000
0.693 0.500 0.000



Pm2Sm2Tm3, relaxed, DFT PBE-GGA; magnetization = 0.00 Bohr magnetons per cell; energy relative to the elements = 134 meV/atom; DOS at the Fermi energy = 1.644 states/eV per atom; space-group type = C2/m, No. 12; raw total energy = -4.49 eV per atom
1.0
3.497 0.000 0.000
0.000 8.724 -0.450
-1.749 -3.368 7.709
Pm Sm Tm
2 2 3
Direct
0.362 0.092 0.724
0.638 0.908 0.276
0.080 0.205 0.160
0.920 0.795 0.840
0.221 0.644 0.442
0.000 0.500 0.000
0.779 0.356 0.558



Pm5SmTm, relaxed, DFT PBE-GGA; magnetization = 0.00 Bohr magnetons per cell; energy relative to the elements = 169 meV/atom; DOS at the Fermi energy = 1.444 states/eV per atom; space-group type = C2/c, No. 15; raw total energy = -4.54 eV per atom
1.0
6.006 0.000 1.481
3.003 8.828 0.740
-0.378 0.000 8.972
Sm Pm Tm
2 10 2
Direct
0.000 0.000 0.000
0.000 0.000 0.500
0.144 0.713 0.250
0.856 0.287 0.750
0.985 0.627 0.646
0.238 0.304 0.964
0.613 0.373 0.146
0.762 0.696 0.036
0.015 0.373 0.354
0.387 0.627 0.854
0.542 0.696 0.464
0.458 0.304 0.536
0.512 0.976 0.750
0.488 0.024 0.250



Pm4SmTm, relaxed, DFT PBE-GGA; magnetization = 0.00 Bohr magnetons per cell; energy relative to the elements = 110 meV/atom; DOS at the Fermi energy = 1.954 states/eV per atom; space-group type = C2/m, No. 12; raw total energy = -4.59 eV per atom
1.0
-1.548 6.010 -1.230
-5.972 1.982 -0.656
-0.289 1.158 5.899
Pm Sm Tm
4 1 1
Direct
0.663 0.663 0.014
0.337 0.337 0.986
0.838 0.838 0.516
0.162 0.162 0.484
0.500 0.500 0.500
0.000 0.000 0.000



Pm4SmTm2, relaxed, DFT PBE-GGA; magnetization = 0.00 Bohr magnetons per cell; energy relative to the elements = 58 meV/atom; DOS at the Fermi energy = 1.465 states/eV per atom; space-group type = Fdd2, No. 43; raw total energy = -4.61 eV per atom
1.0
-10.635 6.616 -0.297
7.002 -9.516 -4.168
-0.512 -2.104 6.436
Pm Tm Sm
8 4 2
Direct
0.598 0.561 0.635
0.185 0.793 0.897
0.176 0.713 0.365
0.793 0.185 0.397
0.713 0.176 0.865
0.561 0.598 0.135
0.038 0.146 0.603
0.146 0.038 0.103
0.922 0.104 0.052
0.302 0.620 0.948
0.104 0.922 0.552
0.620 0.302 0.448
0.425 0.675 0.500
0.675 0.425 0.000



Pm7Sm12Tm, relaxed, DFT PBE-GGA; magnetization = 0.00 Bohr magnetons per cell; energy relative to the elements = 257 meV/atom; DOS at the Fermi energy = 1.171 states/eV per atom; space-group type = R-3, No. 148; raw total energy = -4.46 eV per atom
1.0
8.727 0.816 1.225
-1.643 8.609 1.225
-1.643 -2.186 8.417
Pm Sm Tm
7 12 1
Direct
0.026 0.091 0.355
0.974 0.909 0.645
0.645 0.974 0.909
0.355 0.026 0.091
0.500 0.500 0.500
0.091 0.355 0.026
0.909 0.645 0.974
0.750 0.312 0.176
0.512 0.849 0.582
0.250 0.688 0.824
0.824 0.250 0.688
0.582 0.512 0.849
0.488 0.151 0.418
0.151 0.418 0.488
0.688 0.824 0.250
0.312 0.176 0.750
0.176 0.750 0.312
0.418 0.488 0.151
0.849 0.582 0.512
0.000 0.000 0.000



PmSm4Tm5, relaxed, DFT PBE-GGA; magnetization = 0.00 Bohr magnetons per cell; energy relative to the elements = 198 meV/atom; DOS at the Fermi energy = 1.358 states/eV per atom; space-group type = C2/m, No. 12; raw total energy = -4.40 eV per atom
1.0
3.448 -0.001 -0.700
-0.127 11.115 -0.616
-0.027 0.450 8.699
Tm Sm Pm
5 4 1
Direct
0.500 0.500 0.000
0.174 0.948 0.349
0.827 0.453 0.654
0.173 0.547 0.346
0.826 0.052 0.651
0.345 0.750 0.688
0.969 0.252 0.938
0.031 0.748 0.062
0.655 0.250 0.312
0.500 0.000 0.000



PmSm3Tm3, relaxed, DFT PBE-GGA; magnetization = 0.00 Bohr magnetons per cell; energy relative to the elements = 201 meV/atom; DOS at the Fermi energy = 1.515 states/eV per atom; space-group type = R-3, No. 148; raw total energy = -4.42 eV per atom
1.0
-8.478 0.894 2.335
-5.385 -6.986 0.576
-2.965 -2.905 7.804
Tm Sm Pm
6 6 2
Direct
0.172 0.936 0.716
0.284 0.828 0.064
0.828 0.064 0.284
0.064 0.284 0.828
0.716 0.172 0.936
0.936 0.716 0.172
0.721 0.567 0.069
0.433 0.931 0.279
0.567 0.069 0.721
0.069 0.721 0.567
0.279 0.433 0.931
0.931 0.279 0.433
0.345 0.345 0.345
0.655 0.655 0.655



Pm8SmTm6, relaxed, DFT PBE-GGA; magnetization = 0.00 Bohr magnetons per cell; energy relative to the elements = 131 meV/atom; DOS at the Fermi energy = 1.518 states/eV per atom; space-group type = R-3, No. 148; raw total energy = -4.51 eV per atom
1.0
-0.941 7.051 -5.603
0.797 -1.185 -8.942
-6.870 0.695 -5.289
Pm Tm Sm
8 6 1
Direct
0.751 0.717 0.420
0.113 0.751 0.420
0.578 0.578 0.267
0.249 0.283 0.580
0.422 0.422 0.733
0.283 0.887 0.580
0.887 0.249 0.580
0.717 0.113 0.420
0.903 0.751 0.883
0.751 0.463 0.883
0.249 0.537 0.117
0.097 0.249 0.117
0.537 0.097 0.117
0.463 0.903 0.883
0.000 0.000 0.000



PmSm5Tm4, relaxed, DFT PBE-GGA; magnetization = 0.00 Bohr magnetons per cell; energy relative to the elements = 298 meV/atom; DOS at the Fermi energy = 1.507 states/eV per atom; space-group type = I4, No. 79; raw total energy = -4.33 eV per atom
1.0
-1.542 -1.075 -6.043
-1.420 -7.587 -1.603
-7.744 0.428 -1.414
Sm Tm Pm
5 4 1
Direct
0.097 0.619 0.090
0.186 0.910 0.619
0.805 0.381 0.910
0.715 0.090 0.381
0.679 0.000 0.000
0.103 0.299 0.399
0.401 0.399 0.701
0.502 0.601 0.299
0.800 0.701 0.601
0.222 0.000 0.000



Pm3Sm7Tm, relaxed, DFT PBE-GGA; magnetization = 0.00 Bohr magnetons per cell; energy relative to the elements = 146 meV/atom; DOS at the Fermi energy = 1.556 states/eV per atom; space-group type = Cmcm, No. 63; raw total energy = -4.56 eV per atom
1.0
3.570 -9.331 0.000
3.570 9.331 0.000
0.000 0.000 11.347
Sm Pm Tm
14 6 2
Direct
0.091 0.412 0.473
0.739 0.739 0.750
0.657 0.828 0.250
0.261 0.261 0.250
0.172 0.343 0.750
0.091 0.412 0.027
0.588 0.909 0.973
0.909 0.588 0.973
0.412 0.091 0.027
0.412 0.091 0.473
0.828 0.657 0.250
0.343 0.172 0.750
0.909 0.588 0.527
0.588 0.909 0.527
0.000 0.000 0.000
0.753 0.249 0.250
0.751 0.247 0.750
0.000 0.000 0.500
0.247 0.751 0.750
0.249 0.753 0.250
0.500 0.500 0.500
0.500 0.500 0.000



PmSmTm, relaxed, DFT PBE-GGA; magnetization = 0.00 Bohr magnetons per cell; energy relative to the elements = 24 meV/atom; DOS at the Fermi energy = 1.462 states/eV per atom; space-group type = I4mm, No. 107; raw total energy = -4.62 eV per atom
1.0
3.593 0.000 0.000
0.000 3.593 0.000
-1.796 -1.796 7.607
Sm Pm Tm
1 1 1
Direct
0.002 0.002 0.004
0.332 0.332 0.663
0.666 0.666 0.333



Pm4Sm5Tm4, relaxed, DFT PBE-GGA; magnetization = 0.00 Bohr magnetons per cell; energy relative to the elements = 18 meV/atom; DOS at the Fermi energy = 1.390 states/eV per atom; space-group type = I4/m, No. 87; raw total energy = -4.63 eV per atom
1.0
-3.952 2.937 1.183
-1.496 -1.390 9.292
3.739 8.370 2.544
Pm Tm Sm
4 4 5
Direct
0.617 0.306 0.460
0.077 0.540 0.306
0.923 0.460 0.694
0.383 0.694 0.540
0.769 0.386 0.077
0.154 0.077 0.614
0.846 0.923 0.386
0.231 0.614 0.923
0.309 0.151 0.231
0.460 0.231 0.849
0.691 0.849 0.769
0.000 0.000 0.000
0.540 0.769 0.151



Pm3Sm2Tm3, relaxed, DFT PBE-GGA; magnetization = 0.00 Bohr magnetons per cell; energy relative to the elements = 20 meV/atom; DOS at the Fermi energy = 1.489 states/eV per atom; space-group type = Immm, No. 71; raw total energy = -4.62 eV per atom
1.0
5.054 0.000 0.000
0.000 5.079 0.000
-2.527 -2.540 10.133
Pm Sm Tm
3 2 3
Direct
0.500 0.000 0.000
0.377 0.377 0.753
0.623 0.623 0.247
0.250 0.750 0.501
0.750 0.250 0.499
0.125 0.125 0.249
0.875 0.875 0.751
0.000 0.500 0.000



Pm4Sm8Tm3, relaxed, DFT PBE-GGA; magnetization = 0.02 Bohr magnetons per cell; energy relative to the elements = 356 meV/atom; DOS at the Fermi energy = 1.913 states/eV per atom; space-group type = C2/m, No. 12; raw total energy = -4.32 eV per atom
1.0
6.822 -0.110 -0.158
-3.264 8.680 1.225
-3.264 -1.865 8.566
Tm Pm Sm
3 4 8
Direct
0.500 0.500 0.500
0.500 0.000 0.500
0.500 0.500 0.000
0.000 0.000 0.000
0.500 0.000 0.000
0.000 0.500 0.000
0.000 0.000 0.500
0.500 0.254 0.746
0.000 0.356 0.644
0.000 0.644 0.356
0.006 0.726 0.726
0.494 0.738 0.738
0.506 0.262 0.262
0.500 0.746 0.254
0.994 0.274 0.274



Pm3Sm8Tm4, relaxed, DFT PBE-GGA; magnetization = 0.00 Bohr magnetons per cell; energy relative to the elements = 351 meV/atom; DOS at the Fermi energy = 1.591 states/eV per atom; space-group type = C2/m, No. 12; raw total energy = -4.31 eV per atom
1.0
-4.533 -5.088 -0.648
5.398 1.040 -7.538
8.089 -2.792 3.717
Sm Tm Pm
8 4 3
Direct
0.766 0.297 0.297
0.234 0.703 0.703
0.807 0.756 0.756
0.500 0.753 0.247
0.000 0.705 0.295
0.500 0.247 0.753
0.000 0.295 0.705
0.193 0.244 0.244
0.000 0.000 0.000
0.500 0.000 0.000
0.000 0.500 0.000
0.000 0.000 0.500
0.500 0.500 0.500
0.500 0.000 0.500
0.500 0.500 0.000



Pm7Sm12Tm, relaxed, DFT PBE-GGA; magnetization = 0.00 Bohr magnetons per cell; energy relative to the elements = 621 meV/atom; DOS at the Fermi energy = 1.314 states/eV per atom; space-group type = Im-3m, No. 229; raw total energy = -4.10 eV per atom
1.0
9.388 0.000 -3.319
-4.694 8.131 -3.319
0.000 0.000 9.958
Sm Tm Pm
12 1 7
Direct
0.494 0.247 0.247
0.506 0.753 0.753
0.247 0.000 0.753
0.000 0.247 0.753
0.753 0.247 0.000
0.247 0.247 0.494
0.247 0.494 0.247
0.247 0.753 0.000
0.753 0.753 0.506
0.000 0.753 0.247
0.753 0.506 0.753
0.753 0.000 0.247
0.000 0.000 0.000
0.000 0.000 0.500
0.500 0.000 0.000
0.000 0.500 0.000
0.500 0.500 0.500
0.000 0.500 0.500
0.500 0.500 0.000
0.500 0.000 0.500



PmSm6Tm12, relaxed, DFT PBE-GGA; magnetization = 0.00 Bohr magnetons per cell; energy relative to the elements = 22 meV/atom; DOS at the Fermi energy = 1.329 states/eV per atom; space-group type = R-3, No. 148; raw total energy = -4.54 eV per atom
1.0
8.258 0.000 2.647
-4.112 7.711 3.357
0.035 0.000 9.361
Tm Sm Pm
12 6 1
Direct
0.105 0.368 0.052
0.157 0.052 0.580
0.895 0.632 0.948
0.316 0.104 0.158
0.789 0.262 0.896
0.737 0.580 0.368
0.684 0.896 0.842
0.843 0.948 0.420
0.263 0.420 0.632
0.211 0.738 0.104
0.527 0.842 0.262
0.473 0.158 0.738
0.421 0.476 0.209
0.369 0.791 0.685
0.579 0.524 0.791
0.946 0.315 0.476
0.631 0.209 0.315
0.054 0.685 0.524
0.000 0.000 0.000



Pm8Sm2Tm3, relaxed, DFT PBE-GGA; magnetization = 0.00 Bohr magnetons per cell; energy relative to the elements = 19 meV/atom; DOS at the Fermi energy = 1.493 states/eV per atom; space-group type = P-1, No. 2; raw total energy = -4.66 eV per atom
1.0
-0.820 -4.523 4.245
5.157 -3.365 -1.047
8.870 3.659 7.146
Pm Sm Tm
8 2 3
Direct
0.617 0.081 0.227
0.079 0.389 0.151
0.692 0.464 0.382
0.921 0.611 0.849
0.383 0.919 0.773
0.845 0.227 0.696
0.155 0.773 0.304
0.308 0.536 0.618
0.769 0.846 0.539
0.231 0.154 0.461
0.461 0.304 0.925
0.539 0.696 0.075
0.000 0.000 0.000